VASP calculation (PBE) on crystalline Ho4TlRh2 at its relaxed geometry.

Structure (CIF):
```
data_Ho4TlRh2
_cell_length_a 4.1669
_cell_length_b 4.1669
_cell_length_c 37.5266
_cell_angle_alpha 90.00
_cell_angle_beta 90.00
_cell_angle_gamma 120.00
_symmetry_space_group_name_H-M 'R -3 m'
_symmetry_Int_Tables_number 166
_symmetry_space_group_name_Hall '-R 3 2"'
loop_
_atom_site_label
_atom_site_type_symbol
_atom_site_fract_x
_atom_site_fract_y
_atom_site_fract_z
Ho1 Ho 0.0000 0.0000 0.1064
Ho2 Ho 0.0000 0.0000 0.2991
Tl1 Tl 0.0000 0.0000 0.5000
Rh1 Rh 0.0000 0.0000 0.4018
```

---

VASP calculation (PBE) on crystalline Nd2Er3Sc2 at its relaxed geometry.

Results
Relative energy among the computed polymorphs (eV/f.u.): 0.00

Structure (CIF):
```
data_Nd2Er3Sc2
_cell_length_a 5.1965
_cell_length_b 23.3930
_cell_length_c 3.4730
_cell_angle_alpha 90.00
_cell_angle_beta 90.00
_cell_angle_gamma 90.00
_symmetry_space_group_name_H-M 'C m m m'
_symmetry_Int_Tables_number 65
_symmetry_space_group_name_Hall '-C 2 2'
loop_
_atom_site_label
_atom_site_type_symbol
_atom_site_fract_x
_atom_site_fract_y
_atom_site_fract_z
Nd1 Nd 0.0000 0.0764 0.0000
Er1 Er 0.0000 0.3421 0.5000
Er2 Er 0.0000 0.5000 0.5000
Sc1 Sc 0.0000 0.2169 0.0000
```

---

Number 1: formation enthalpy at 0 K -0.5556 eV per atom. Number 2: formation enthalpy at 0 K 0.0331 eV per atom.